# 1
A relaxed structure of BaYAl2, computed with GGA-PBE.

Calculated values
Crystal system: tetragonal
Fermi-level density of states in states/eV/atom: 0.64
Polymorph energy (0 for the lowest one) in eV/atom: 0.000

Geometry as CIF:
```
data_BaYAl2
_space_group_name_H-M_alt 'P 4/m m m'
_space_group_IT_number 123
_space_group_name_Hall '-P 4 2'
_cell_length_a 3.856
_cell_length_b 3.856
_cell_length_c 7.801
_cell_angle_alpha 90.00
_cell_angle_beta 90.00
_cell_angle_gamma 90.00
loop_
_atom_site_label
_atom_site_fract_x
_atom_site_fract_y
_atom_site_fract_z
Ba1 0.000 0.000 0.000
Y1 0.000 0.000 0.500
Al1 0.500 0.500 0.307
```


# 2
A relaxed structure of Re2RuAu, computed with GGA-PBE.

Calculated values
Crystal system: tetragonal
Fermi-level density of states in states/eV/atom: 1.11
Polymorph energy (0 for the lowest one) in eV/atom: 0.489

Geometry as CIF:
```
data_Re2RuAu
_space_group_name_H-M_alt 'P 4/m m m'
_space_group_IT_number 123
_space_group_name_Hall '-P 4 2'
_cell_length_a 4.737
_cell_length_b 4.737
_cell_length_c 2.774
_cell_angle_alpha 90.00
_cell_angle_beta 90.00
_cell_angle_gamma 90.00
loop_
_atom_site_label
_atom_site_fract_x
_atom_site_fract_y
_atom_site_fract_z
Re1 0.000 0.500 0.000
Ru1 0.000 0.000 0.500
Au1 0.500 0.500 0.500
```


# 3
A relaxed structure of BeCr2SbCl, computed with GGA-PBE.

Calculated values
Crystal system: tetragonal
Formation energy without anion corrections in eV per atom: 0.718
Fermi-level density of states in states/eV/atom: 0.56

Geometry as CIF:
```
data_BeCr2SbCl
_space_group_name_H-M_alt 'P 4/m m m'
_space_group_IT_number 123
_space_group_name_Hall '-P 4 2'
_cell_length_a 4.786
_cell_length_b 4.786
_cell_length_c 3.929
_cell_angle_alpha 90.00
_cell_angle_beta 90.00
_cell_angle_gamma 90.00
loop_
_atom_site_label
_atom_site_fract_x
_atom_site_fract_y
_atom_site_fract_z
Be1 0.000 0.000 0.000
Cr1 0.000 0.500 0.000
Sb1 0.500 0.500 0.500
Cl1 0.000 0.000 0.500
```


# 4
A relaxed structure of Rb2Na3Hg6, computed with GGA-PBE.

Calculated values
Crystal system: orthorhombic
Total DFT energy (no corrections) in eV/atom: -0.8976
Fermi-level density of states in states/eV/atom: 0.42

Geometry as CIF:
```
data_Rb2Na3Hg6
_space_group_name_H-M_alt 'C m m m'
_space_group_IT_number 65
_space_group_name_Hall '-C 2 2'
_cell_length_a 11.735
_cell_length_b 14.112
_cell_length_c 4.785
_cell_angle_alpha 90.00
_cell_angle_beta 90.00
_cell_angle_gamma 90.00
loop_
_atom_site_label
_atom_site_fract_x
_atom_site_fract_y
_atom_site_fract_z
Rb1 0.000 0.202 0.000
Na1 0.000 0.500 0.500
Na2 0.204 0.500 0.000
Hg1 0.125 0.000 0.500
Hg2 0.193 0.342 0.500
```


Which value of Fermi-level density of states does entry 4 give? 0.42 states/eV/atom


What is the Fermi-level density of states in the first record? 0.64 states/eV/atom


Repeat the third record exactly.
A relaxed structure of BeCr2SbCl, computed with GGA-PBE.

Calculated values
Crystal system: tetragonal
Formation energy without anion corrections in eV per atom: 0.718
Fermi-level density of states in states/eV/atom: 0.56

Geometry as CIF:
```
data_BeCr2SbCl
_space_group_name_H-M_alt 'P 4/m m m'
_space_group_IT_number 123
_space_group_name_Hall '-P 4 2'
_cell_length_a 4.786
_cell_length_b 4.786
_cell_length_c 3.929
_cell_angle_alpha 90.00
_cell_angle_beta 90.00
_cell_angle_gamma 90.00
loop_
_atom_site_label
_atom_site_fract_x
_atom_site_fract_y
_atom_site_fract_z
Be1 0.000 0.000 0.000
Cr1 0.000 0.500 0.000
Sb1 0.500 0.500 0.500
Cl1 0.000 0.000 0.500
```


Among the records above, which one has the highest Fermi-level density of states? Re2RuAu